# BaCoPbO4 (PBE with a Hubbard U, optimized geometry)
# Raw total energy ... -81.502 eV for the cell shown
# M_tot ... 5.000 μB/f.u.
data_BaCoPbO4
_space_group_name_H-M_alt 'P 1 21/m 1'
_space_group_IT_number 11
_cell_length_a 6.337
_cell_length_b 5.993
_cell_length_c 7.563
_cell_angle_alpha 90.00
_cell_angle_beta 113.78
_cell_angle_gamma 90.00
loop_
_space_group_symop_operation_xyz
'x,y,z'
'-x,-y,-z'
'-x,y+1/2,-z'
'x,-y+1/2,z'
loop_
_atom_site_label
_atom_site_type_symbol
_atom_site_fract_x
_atom_site_fract_y
_atom_site_fract_z
_atom_site_occupancy
Ba1 Ba 0.218 0.250 0.459 1
Co1 Co 0.227 0.750 0.203 1
Pb1 Pb 0.312 0.250 0.020 1
O1 O 0.037 0.750 0.950 1
O2 O 0.056 0.750 0.342 1
O3 O 0.420 0.510 0.266 1